# PBE-GGA Nd3GaSb2, optimized geometry
# Energy relative to the elements, uncorrected = -0.86 eV per atom
# Calculated volume = 188.8 Å³/cell
# DFT total energy = -5.12 eV/atom
# SG = Immm
data_Nd3GaSb2
_chemical_formula_sum 'Nd3 Ga1 Sb2'
_space_group_name_H-M_alt 'P 1'
_space_group_IT_number 1
_cell_length_a 4.449
_cell_length_b 6.302
_cell_length_c 7.759
_cell_angle_alpha 113.96
_cell_angle_beta 106.66
_cell_angle_gamma 90.00
loop_
_space_group_symop_operation_xyz
'x,y,z'
loop_
_atom_site_label
_atom_site_type_symbol
_atom_site_fract_x
_atom_site_fract_y
_atom_site_fract_z
_atom_site_occupancy
Nd1 Nd 0.332 0.332 0.665 1
Nd2 Nd 0.000 0.000 0.000 1
Sb1 Sb 0.332 0.832 0.664 1
Sb2 Sb 0.668 0.168 0.336 1
Ga1 Ga 0.000 0.500 0.000 1
Nd3 Nd 0.668 0.668 0.335 1

# PBE-GGA Ac4Hg5Ru2, optimized geometry
# Calculated volume = 324.4 Å³/cell
# DFT total energy = -3.65 eV/atom
# Energy of formation = -0.329 eV/atom
# SG = P2/m
data_Ac4Hg5Ru2
_chemical_formula_sum 'Ac4 Hg5 Ru2'
_space_group_name_H-M_alt 'P 1'
_space_group_IT_number 1
_cell_length_a 4.297
_cell_length_b 7.829
_cell_length_c 9.645
_cell_angle_alpha 91.70
_cell_angle_beta 90.00
_cell_angle_gamma 90.00
loop_
_space_group_symop_operation_xyz
'x,y,z'
loop_
_atom_site_label
_atom_site_type_symbol
_atom_site_fract_x
_atom_site_fract_y
_atom_site_fract_z
_atom_site_occupancy
Ac1 Ac 0.500 0.230 0.408 1
Ru1 Ru 0.000 0.044 0.628 1
Ac2 Ac 0.500 0.191 0.835 1
Hg1 Hg 0.000 0.847 0.875 1
Ac3 Ac 0.500 0.770 0.592 1
Hg2 Hg 0.000 0.575 0.350 1
Ac4 Ac 0.500 0.809 0.165 1
Hg3 Hg 0.000 0.153 0.125 1
Hg4 Hg 0.000 0.425 0.650 1
Ru2 Ru 0.000 0.956 0.372 1
Hg5 Hg 0.000 0.500 0.000 1

# PBE-GGA LaP2RhO8, optimized geometry
# Energy relative to the elements, uncorrected = -2.04 eV per atom
# Calculated volume = 145.6 Å³/cell
# DFT total energy = -7.27 eV/atom
# SG = R32
data_LaP2RhO8
_chemical_formula_sum 'La1 P2 Rh1 O8'
_space_group_name_H-M_alt 'P 1'
_space_group_IT_number 1
_cell_length_a 4.791
_cell_length_b 4.791
_cell_length_c 7.830
_cell_angle_alpha 72.18
_cell_angle_beta 72.18
_cell_angle_gamma 60.00
loop_
_space_group_symop_operation_xyz
'x,y,z'
loop_
_atom_site_label
_atom_site_type_symbol
_atom_site_fract_x
_atom_site_fract_y
_atom_site_fract_z
_atom_site_occupancy
O1 O 0.320 0.320 0.040 1
P1 P 0.249 0.249 0.253 1
La1 La 0.000 0.000 0.000 1
O2 O 0.524 0.258 0.310 1
O3 O 0.476 0.093 0.690 1
O4 O 0.742 0.476 0.690 1
O5 O 0.093 0.742 0.690 1
P2 P 0.751 0.751 0.747 1
O6 O 0.680 0.680 0.960 1
O7 O 0.907 0.524 0.310 1
Rh1 Rh 0.500 0.500 0.500 1
O8 O 0.258 0.907 0.310 1

# PBE-GGA Pm2BeAl4Pt3, optimized geometry
# Calculated volume = 187.3 Å³/cell
# DFT total energy = -5.55 eV/atom
# Energy of formation = -0.918 eV/atom
# SG = P-4m2
data_Pm2BeAl4Pt3
_chemical_formula_sum 'Pm2 Be1 Al4 Pt3'
_space_group_name_H-M_alt 'P 1'
_space_group_IT_number 1
_cell_length_a 4.220
_cell_length_b 4.220
_cell_length_c 10.520
_cell_angle_alpha 90.00
_cell_angle_beta 90.00
_cell_angle_gamma 90.00
loop_
_space_group_symop_operation_xyz
'x,y,z'
loop_
_atom_site_label
_atom_site_type_symbol
_atom_site_fract_x
_atom_site_fract_y
_atom_site_fract_z
_atom_site_occupancy
Al1 Al 0.000 0.000 0.000 1
Al2 Al 0.000 0.500 0.375 1
Pt1 Pt 0.500 0.000 0.865 1
Al3 Al 0.500 0.000 0.625 1
Pm1 Pm 0.500 0.000 0.256 1
Pm2 Pm 0.000 0.500 0.744 1
Pt2 Pt 0.000 0.000 0.500 1
Pt3 Pt 0.000 0.500 0.135 1
Be1 Be 0.500 0.500 0.500 1
Al4 Al 0.500 0.500 0.000 1

# PBE-GGA Pm2Nd2Dy2Mg, optimized geometry
# Calculated volume = 226.5 Å³/cell
# DFT total energy = -4.27 eV/atom
# Energy of formation = -0.012 eV/atom
# SG = Fmmm
data_Pm2Nd2Dy2Mg
_chemical_formula_sum 'Pm2 Nd2 Dy2 Mg1'
_space_group_name_H-M_alt 'P 1'
_space_group_IT_number 1
_cell_length_a 5.181
_cell_length_b 3.661
_cell_length_c 17.101
_cell_angle_alpha 96.15
_cell_angle_beta 90.00
_cell_angle_gamma 135.05
loop_
_space_group_symop_operation_xyz
'x,y,z'
loop_
_atom_site_label
_atom_site_type_symbol
_atom_site_fract_x
_atom_site_fract_y
_atom_site_fract_z
_atom_site_occupancy
Nd1 Nd 0.712 0.424 0.924 1
Pm1 Pm 0.564 0.128 0.628 1
Dy1 Dy 0.863 0.726 0.227 1
Nd2 Nd 0.288 0.576 0.076 1
Pm2 Pm 0.436 0.872 0.372 1
Dy2 Dy 0.137 0.274 0.773 1
Mg1 Mg 0.000 0.000 0.500 1

# PBE-GGA Tb3PaTl4S8, optimized geometry
# Energy relative to the elements, uncorrected = -1.37 eV per atom
# Calculated volume = 434.3 Å³/cell
# DFT total energy = -5.49 eV/atom
# SG = R-3m
data_Tb3PaTl4S8
_chemical_formula_sum 'Tb3 Pa1 Tl4 S8'
_space_group_name_H-M_alt 'P 1'
_space_group_IT_number 1
_cell_length_a 8.076
_cell_length_b 8.992
_cell_length_c 8.074
_cell_angle_alpha 116.67
_cell_angle_beta 120.01
_cell_angle_gamma 90.00
loop_
_space_group_symop_operation_xyz
'x,y,z'
loop_
_atom_site_label
_atom_site_type_symbol
_atom_site_fract_x
_atom_site_fract_y
_atom_site_fract_z
_atom_site_occupancy
Tb1 Tb 0.500 0.500 0.500 1
Tl1 Tl 0.500 0.000 0.000 1
S1 S 0.735 0.694 0.965 1
S2 S 0.771 0.306 0.541 1
Pa1 Pa 0.000 0.500 0.000 1
S3 S 0.229 0.694 0.965 1
Tl2 Tl 0.000 0.000 0.000 1
Tl3 Tl 0.500 0.000 0.500 1
S4 S 0.731 0.693 0.462 1
S5 S 0.229 0.694 0.459 1
S6 S 0.771 0.306 0.035 1
S7 S 0.269 0.307 0.538 1
Tb2 Tb 0.500 0.500 0.000 1
Tl4 Tl 0.000 0.000 0.500 1
Tb3 Tb 0.000 0.500 0.500 1
S8 S 0.265 0.306 0.035 1

# PBE-GGA Tb5PmSm2Tm, optimized geometry
# Calculated volume = 590.7 Å³/cell
# DFT total energy = -4.36 eV/atom
# Energy of formation = 0.281 eV/atom
# SG = I4/mcm
data_Tb5PmSm2Tm
_chemical_formula_sum 'Tb10 Pm2 Sm4 Tm2'
_space_group_name_H-M_alt 'P 1'
_space_group_IT_number 1
_cell_length_a 8.752
_cell_length_b 8.752
_cell_length_c 9.888
_cell_angle_alpha 116.27
_cell_angle_beta 116.27
_cell_angle_gamma 90.00
loop_
_space_group_symop_operation_xyz
'x,y,z'
loop_
_atom_site_label
_atom_site_type_symbol
_atom_site_fract_x
_atom_site_fract_y
_atom_site_fract_z
_atom_site_occupancy
Tb1 Tb 0.072 0.572 0.725 1
Tb2 Tb 0.572 0.653 0.725 1
Sm1 Sm 0.616 0.116 0.000 1
Tm1 Tm 0.750 0.250 0.500 1
Tb3 Tb 0.928 0.428 0.275 1
Tm2 Tm 0.250 0.750 0.500 1
Sm2 Sm 0.884 0.616 0.000 1
Tb4 Tb 0.500 0.500 0.000 1
Pm1 Pm 0.750 0.750 0.500 1
Tb5 Tb 0.000 0.000 0.000 1
Tb6 Tb 0.847 0.928 0.275 1
Tb7 Tb 0.153 0.072 0.725 1
Tb8 Tb 0.347 0.847 0.275 1
Sm3 Sm 0.384 0.884 0.000 1
Sm4 Sm 0.116 0.384 0.000 1
Tb9 Tb 0.428 0.347 0.275 1
Pm2 Pm 0.250 0.250 0.500 1
Tb10 Tb 0.653 0.153 0.725 1

# PBE-GGA La2Sm2Dy, optimized geometry
# Calculated volume = 346.7 Å³/cell
# Polymorph energy (0 for the lowest one) = 0.42 kJ/mol of atoms
# DFT total energy = -4.65 eV/atom
# Energy of formation = 0.125 eV/atom
# SG = Imma
data_La2Sm2Dy
_chemical_formula_sum 'La4 Sm4 Dy2'
_space_group_name_H-M_alt 'P 1'
_space_group_IT_number 1
_cell_length_a 5.806
_cell_length_b 3.602
_cell_length_c 16.925
_cell_angle_alpha 96.11
_cell_angle_beta 99.88
_cell_angle_gamma 90.00
loop_
_space_group_symop_operation_xyz
'x,y,z'
loop_
_atom_site_label
_atom_site_type_symbol
_atom_site_fract_x
_atom_site_fract_y
_atom_site_fract_z
_atom_site_occupancy
Sm1 Sm 0.368 0.118 0.736 1
La1 La 0.542 0.292 0.084 1
Dy1 Dy 0.176 0.426 0.351 1
Sm2 Sm 0.271 0.021 0.543 1
Sm3 Sm 0.632 0.882 0.264 1
La2 La 0.938 0.188 0.876 1
La3 La 0.062 0.812 0.124 1
Sm4 Sm 0.729 0.979 0.457 1
Dy2 Dy 0.824 0.574 0.649 1
La4 La 0.458 0.708 0.916 1

# PBE-GGA RuI4Br, optimized geometry
# Energy relative to the elements, uncorrected = 0.09 eV per atom
# Calculated volume = 380.6 Å³/cell
# DFT total energy = -2.77 eV/atom
# SG = C2/c
data_RuI4Br
_chemical_formula_sum 'Ru2 I8 Br2'
_space_group_name_H-M_alt 'P 1'
_space_group_IT_number 1
_cell_length_a 6.827
_cell_length_b 7.035
_cell_length_c 10.598
_cell_angle_alpha 125.50
_cell_angle_beta 108.79
_cell_angle_gamma 90.00
loop_
_space_group_symop_operation_xyz
'x,y,z'
loop_
_atom_site_label
_atom_site_type_symbol
_atom_site_fract_x
_atom_site_fract_y
_atom_site_fract_z
_atom_site_occupancy
Br1 Br 0.057 0.250 0.000 1
Ru1 Ru 0.500 0.000 0.500 1
I1 I 0.458 0.219 0.791 1
I2 I 0.113 0.071 0.376 1
I3 I 0.887 0.929 0.624 1
I4 I 0.737 0.429 0.624 1
I5 I 0.667 0.281 0.209 1
I6 I 0.263 0.571 0.376 1
Ru2 Ru 0.000 0.500 0.500 1
Br2 Br 0.943 0.750 0.000 1
I7 I 0.333 0.719 0.791 1
I8 I 0.542 0.781 0.209 1

# PBE-GGA Ca4PuNb3N8, optimized geometry
# Energy relative to the elements, uncorrected = -1.16 eV per atom
# Calculated volume = 206.8 Å³/cell
# DFT total energy = -8.60 eV/atom
# SG = R-3m
data_Ca4PuNb3N8
_chemical_formula_sum 'Ca4 Pu1 Nb3 N8'
_space_group_name_H-M_alt 'P 1'
_space_group_IT_number 1
_cell_length_a 6.540
_cell_length_b 6.740
_cell_length_c 6.540
_cell_angle_alpha 119.03
_cell_angle_beta 120.00
_cell_angle_gamma 90.00
loop_
_space_group_symop_operation_xyz
'x,y,z'
loop_
_atom_site_label
_atom_site_type_symbol
_atom_site_fract_x
_atom_site_fract_y
_atom_site_fract_z
_atom_site_occupancy
N1 N 0.243 0.714 0.971 1
N2 N 0.757 0.286 0.029 1
N3 N 0.757 0.286 0.514 1
N4 N 0.243 0.714 0.486 1
Ca1 Ca 0.000 0.000 0.000 1
N5 N 0.728 0.714 0.971 1
N6 N 0.739 0.717 0.478 1
Ca2 Ca 0.000 0.000 0.500 1
Pu1 Pu 0.000 0.500 0.000 1
N7 N 0.272 0.286 0.029 1
Nb1 Nb 0.000 0.500 0.500 1
Ca3 Ca 0.500 0.000 0.500 1
N8 N 0.261 0.283 0.522 1
Nb2 Nb 0.500 0.500 0.500 1
Nb3 Nb 0.500 0.500 0.000 1
Ca4 Ca 0.500 0.000 0.000 1

# PBE-GGA YTlV2Sn, optimized geometry
# Calculated volume = 144.5 Å³/cell
# DFT total energy = -5.22 eV/atom
# Energy of formation = 0.994 eV/atom
# SG = P4/mmm
data_YTlV2Sn
_chemical_formula_sum 'Y1 Tl1 V2 Sn1'
_space_group_name_H-M_alt 'P 1'
_space_group_IT_number 1
_cell_length_a 5.084
_cell_length_b 5.592
_cell_length_c 5.084
_cell_angle_alpha 90.00
_cell_angle_beta 90.00
_cell_angle_gamma 90.00
loop_
_space_group_symop_operation_xyz
'x,y,z'
loop_
_atom_site_label
_atom_site_type_symbol
_atom_site_fract_x
_atom_site_fract_y
_atom_site_fract_z
_atom_site_occupancy
V1 V 0.500 0.000 0.000 1
Y1 Y 0.500 0.500 0.500 1
Sn1 Sn 0.000 0.000 0.000 1
Tl1 Tl 0.000 0.500 0.000 1
V2 V 0.000 0.000 0.500 1

# PBE-GGA RbGeS2O8, optimized geometry
# Energy relative to the elements, uncorrected = -1.37 eV per atom
# Calculated volume = 169.3 Å³/cell
# DFT total energy = -5.83 eV/atom
# SG = C2/m
data_RbGeS2O8
_chemical_formula_sum 'Rb1 Ge1 S2 O8'
_space_group_name_H-M_alt 'P 1'
_space_group_IT_number 1
_cell_length_a 5.415
_cell_length_b 5.415
_cell_length_c 7.367
_cell_angle_alpha 68.31
_cell_angle_beta 68.44
_cell_angle_gamma 60.00
loop_
_space_group_symop_operation_xyz
'x,y,z'
loop_
_atom_site_label
_atom_site_type_symbol
_atom_site_fract_x
_atom_site_fract_y
_atom_site_fract_z
_atom_site_occupancy
S1 S 0.289 0.288 0.134 1
O1 O 0.111 0.563 0.216 1
O2 O 0.111 0.109 0.216 1
O3 O 0.889 0.891 0.784 1
Rb1 Rb 0.500 0.500 0.500 1
Ge1 Ge 0.000 0.000 0.000 1
O4 O 0.640 0.639 0.082 1
O5 O 0.360 0.361 0.918 1
O6 O 0.436 0.891 0.784 1
O7 O 0.889 0.437 0.784 1
S2 S 0.711 0.712 0.866 1
O8 O 0.564 0.109 0.216 1

# PBE-GGA Li2TaTc, optimized geometry
# Calculated volume = 62.2 Å³/cell
# Polymorph energy (0 for the lowest one) = 8.80 kJ/mol of atoms
# DFT total energy = -6.28 eV/atom
# Energy of formation = 0.232 eV/atom
# SG = I4/mmm
data_Li2TaTc
_chemical_formula_sum 'Li2 Ta1 Tc1'
_space_group_name_H-M_alt 'P 1'
_space_group_IT_number 1
_cell_length_a 5.400
_cell_length_b 5.400
_cell_length_c 5.400
_cell_angle_alpha 140.88
_cell_angle_beta 140.88
_cell_angle_gamma 56.51
loop_
_space_group_symop_operation_xyz
'x,y,z'
loop_
_atom_site_label
_atom_site_type_symbol
_atom_site_fract_x
_atom_site_fract_y
_atom_site_fract_z
_atom_site_occupancy
Tc1 Tc 0.750 0.250 0.500 1
Li1 Li 0.500 0.500 0.000 1
Ta1 Ta 0.250 0.750 0.500 1
Li2 Li 0.000 0.000 0.000 1

# PBE-GGA Sr2HfRuC, optimized geometry
# Calculated volume = 119.0 Å³/cell
# DFT total energy = -5.71 eV/atom
# Energy of formation = 0.657 eV/atom
# SG = P4/mmm
data_Sr2HfRuC
_chemical_formula_sum 'Sr2 Hf1 Ru1 C1'
_space_group_name_H-M_alt 'P 1'
_space_group_IT_number 1
_cell_length_a 5.506
_cell_length_b 3.924
_cell_length_c 5.506
_cell_angle_alpha 90.00
_cell_angle_beta 90.00
_cell_angle_gamma 90.00
loop_
_space_group_symop_operation_xyz
'x,y,z'
loop_
_atom_site_label
_atom_site_type_symbol
_atom_site_fract_x
_atom_site_fract_y
_atom_site_fract_z
_atom_site_occupancy
C1 C 0.000 0.000 0.000 1
Sr1 Sr 0.000 0.000 0.500 1
Sr2 Sr 0.500 0.000 0.000 1
Ru1 Ru 0.000 0.500 0.000 1
Hf1 Hf 0.500 0.500 0.500 1

# PBE-GGA Pm3Dy2Hg2, optimized geometry
# Calculated volume = 203.4 Å³/cell
# Polymorph energy (0 for the lowest one) = 11.89 kJ/mol of atoms
# DFT total energy = -3.55 eV/atom
# Energy of formation = -0.117 eV/atom
# SG = Cmmm
data_Pm3Dy2Hg2
_chemical_formula_sum 'Pm3 Dy2 Hg2'
_space_group_name_H-M_alt 'P 1'
_space_group_IT_number 1
_cell_length_a 4.919
_cell_length_b 3.532
_cell_length_c 11.963
_cell_angle_alpha 90.00
_cell_angle_beta 78.14
_cell_angle_gamma 90.00
loop_
_space_group_symop_operation_xyz
'x,y,z'
loop_
_atom_site_label
_atom_site_type_symbol
_atom_site_fract_x
_atom_site_fract_y
_atom_site_fract_z
_atom_site_occupancy
Pm1 Pm 0.000 0.000 0.000 1
Hg1 Hg 0.429 0.500 0.142 1
Dy1 Dy 0.291 0.500 0.419 1
Hg2 Hg 0.571 0.500 0.858 1
Pm2 Pm 0.142 0.000 0.717 1
Dy2 Dy 0.709 0.500 0.581 1
Pm3 Pm 0.858 0.000 0.283 1

# PBE-GGA La3HoEr2Te6, optimized geometry
# Energy relative to the elements, uncorrected = -1.42 eV per atom
# Calculated volume = 374.2 Å³/cell
# DFT total energy = -5.36 eV/atom
# SG = C2/m
data_La3HoEr2Te6
_chemical_formula_sum 'La3 Ho1 Er2 Te6'
_space_group_name_H-M_alt 'P 1'
_space_group_IT_number 1
_cell_length_a 7.633
_cell_length_b 7.633
_cell_length_c 7.863
_cell_angle_alpha 99.30
_cell_angle_beta 99.30
_cell_angle_gamma 120.27
loop_
_space_group_symop_operation_xyz
'x,y,z'
loop_
_atom_site_label
_atom_site_type_symbol
_atom_site_fract_x
_atom_site_fract_y
_atom_site_fract_z
_atom_site_occupancy
La1 La 0.500 0.500 0.500 1
Te1 Te 0.589 0.923 0.770 1
Te2 Te 0.258 0.258 0.770 1
Te3 Te 0.923 0.589 0.770 1
La2 La 0.166 0.834 0.500 1
Ho1 Ho 0.000 0.000 0.000 1
Te4 Te 0.411 0.077 0.230 1
Te5 Te 0.742 0.742 0.230 1
Te6 Te 0.077 0.411 0.230 1
Er1 Er 0.334 0.666 0.000 1
Er2 Er 0.666 0.334 0.000 1
La3 La 0.834 0.166 0.500 1

# PBE-GGA YHoZnPt, optimized geometry
# Calculated volume = 87.3 Å³/cell
# Polymorph energy (0 for the lowest one) = 2.94 kJ/mol of atoms
# DFT total energy = -5.39 eV/atom
# Energy of formation = -0.796 eV/atom
# SG = F-43m
data_YHoZnPt
_chemical_formula_sum 'Y1 Ho1 Zn1 Pt1'
_space_group_name_H-M_alt 'P 1'
_space_group_IT_number 1
_cell_length_a 4.979
_cell_length_b 4.979
_cell_length_c 4.979
_cell_angle_alpha 60.00
_cell_angle_beta 60.00
_cell_angle_gamma 60.00
loop_
_space_group_symop_operation_xyz
'x,y,z'
loop_
_atom_site_label
_atom_site_type_symbol
_atom_site_fract_x
_atom_site_fract_y
_atom_site_fract_z
_atom_site_occupancy
Y1 Y 0.500 0.500 0.500 1
Zn1 Zn 0.250 0.250 0.250 1
Pt1 Pt 0.750 0.750 0.750 1
Ho1 Ho 0.000 0.000 0.000 1